## PrAlSn (PBE)

Data for PrAlSn after structural relaxation.

total DFT energy (no corrections): -23.13 eV/cell
crystal system: tetragonal
ΔE_f: 321 meV/atom
calculated volume: 174 Å³/cell
size of the total moment: 0.0 μB/cell
calculated density: 5.5 Mg/m³

Unit cell a=3.193 b=3.193 c=17.059 alpha=90.00 beta=90.00 gamma=90.00
Space group I4mm (No. 107)
Unique sites:
Pr 0.000 0.000 0.000 x2
Al 0.000 0.000 0.183 x2
Sn 0.000 0.000 0.809 x2